Density functional theory data (PBE) for a geometry-optimized Mg2CuH6Ir structure.

Total energy, eV for the cell shown: -36.76

Lattice parameters (Å, degrees): 4.9369 4.9369 4.9369 60.00 60.00 60.00
With the nearest neighbours (Å) after each atom.
Fractional positions:
Cu1 0.0000 0.0000 0.0000  6 H 1.75
H1 0.7498 0.2502 0.2502  1 Ir 1.74, 1 Cu 1.75
H2 0.2502 0.7498 0.2502  1 Ir 1.74, 1 Cu 1.75
H3 0.7498 0.7498 0.2502  1 Ir 1.74, 1 Cu 1.75
H4 0.2502 0.2502 0.7498  1 Ir 1.74, 1 Cu 1.75
H5 0.7498 0.2502 0.7498  1 Ir 1.74, 1 Cu 1.75
H6 0.2502 0.7498 0.7498  1 Ir 1.74, 1 Cu 1.75
Ir1 0.5000 0.5000 0.5000  6 H 1.74
Mg1 0.2500 0.2500 0.2500  12 H 2.47
Mg2 0.7500 0.7500 0.7500  12 H 2.47